1.
A plane-wave DFT calculation with GGA-PBE was carried out for a relaxed structure of NbN.

a = 8.445 Å, b = 4.206 Å, c = 5.752 Å
α = 90.00°, β = 90.00°, γ = 90.00°
Space group Pnma (No. 62)
Symmetry-distinct sites (fractional):
1 Nb 0.002 0.250 0.174 [4 per cell]
2 Nb 0.246 0.250 0.683 [4 per cell]
3 N 0.002 0.750 0.211 [4 per cell]
4 N 0.239 0.250 0.324 [4 per cell]

For the mass density, the calculation gives 7.0 g cm⁻³. The energy relative to the elements, uncorrected comes out at -0.80 eV/atom.

2.
A plane-wave DFT calculation with GGA-PBE was carried out for a relaxed structure of Nb2N3.

a = 6.136 Å, b = 2.953 Å, c = 6.438 Å
α = 90.00°, β = 103.09°, γ = 90.00°
Space group P2_1/m (No. 11)
Symmetry-distinct sites (fractional):
1 Nb 0.178 0.250 0.213 [2 per cell]
2 Nb 0.319 0.750 0.763 [2 per cell]
3 N 0.083 0.250 0.838 [2 per cell]
4 N 0.271 0.250 0.518 [2 per cell]
5 N 0.407 0.750 0.136 [2 per cell]

For the mass density, the calculation gives 6.7 g cm⁻³. The energy relative to the elements, uncorrected comes out at -0.76 eV/atom.

3.
A plane-wave DFT calculation with GGA-PBE was carried out for a relaxed structure of Nb4N5.

a = 6.958 Å, b = 6.958 Å, c = 4.302 Å
α = 90.00°, β = 90.00°, γ = 90.00°
Space group I4/m (No. 87)
Symmetry-distinct sites (fractional):
1 Nb 0.104 0.283 0.000 [8 per cell]
2 N 0.000 0.000 0.000 [2 per cell]
3 N 0.094 0.306 0.500 [8 per cell]

For the mass density, the calculation gives 7.0 g cm⁻³. The energy relative to the elements, uncorrected comes out at -0.97 eV/atom.

4.
A plane-wave DFT calculation with GGA-PBE was carried out for a relaxed structure of NbN.

a = 3.2039 Å, b = 3.2039 Å, c = 6.0548 Å
α = 90.00°, β = 90.00°, γ = 120.00°
Space group P6_3mc (No. 186)
Symmetry-distinct sites (fractional):
1 Nb 0.3333 0.6667 0.0000 [2 per cell]
2 N 0.3333 0.6667 0.6702 [2 per cell]

For the mass density, the calculation gives 6.6 g cm⁻³. The energy relative to the elements, uncorrected comes out at -0.71 eV/atom.

5.
A plane-wave DFT calculation with GGA-PBE was carried out for a relaxed structure of Nb8N5.

a = 4.380 Å, b = 4.380 Å, c = 8.808 Å
α = 90.00°, β = 90.00°, γ = 90.00°
Space group P4/mmm (No. 123)
Symmetry-distinct sites (fractional):
1 Nb 0.000 0.000 0.247 [2 per cell]
2 Nb 0.000 0.500 0.000 [2 per cell]
3 Nb 0.000 0.500 0.500 [2 per cell]
4 Nb 0.500 0.500 0.249 [2 per cell]
5 N 0.000 0.500 0.250 [4 per cell]
6 N 0.500 0.500 0.500 [1 per cell]

For the mass density, the calculation gives 8.0 g cm⁻³. The energy relative to the elements, uncorrected comes out at -0.84 eV/atom.

6.
A plane-wave DFT calculation with GGA-PBE was carried out for a relaxed structure of NbN.

a = 7.8392 Å, b = 7.8392 Å, c = 3.5726 Å
α = 90.00°, β = 90.00°, γ = 120.00°
Space group P6_3/m (No. 176)
Symmetry-distinct sites (fractional):
1 Nb 0.0401 0.6607 0.2500 [6 per cell]
2 N 0.1162 0.4390 0.2500 [6 per cell]

For the mass density, the calculation gives 5.6 g cm⁻³. The energy relative to the elements, uncorrected comes out at -0.65 eV/atom.

7.
A plane-wave DFT calculation with GGA-PBE was carried out for a relaxed structure of Nb2N.

a = 3.1562 Å, b = 3.1562 Å, c = 4.8621 Å
α = 90.00°, β = 90.00°, γ = 120.00°
Space group P-3m1 (No. 164)
Symmetry-distinct sites (fractional):
1 Nb 0.3333 0.6667 0.2474 [2 per cell]
2 N 0.0000 0.0000 0.0000 [1 per cell]

For the mass density, the calculation gives 7.9 g cm⁻³. The energy relative to the elements, uncorrected comes out at -0.78 eV/atom.

8.
A plane-wave DFT calculation with GGA-PBE was carried out for a relaxed structure of NbN.

a = 5.838 Å, b = 5.838 Å, c = 5.838 Å
α = 90.00°, β = 90.00°, γ = 90.00°
Space group Pm-3n (No. 223)
Symmetry-distinct sites (fractional):
1 Nb 0.000 0.250 0.500 [6 per cell]
2 N 0.000 0.500 0.250 [6 per cell]

For the mass density, the calculation gives 5.4 g cm⁻³. The energy relative to the elements, uncorrected comes out at -0.56 eV/atom.

9.
A plane-wave DFT calculation with GGA-PBE was carried out for a relaxed structure of Nb4N3.

a = 3.768 Å, b = 3.768 Å, c = 9.046 Å
α = 90.00°, β = 90.00°, γ = 90.00°
Space group P4/mmm (No. 123)
Symmetry-distinct sites (fractional):
1 Nb 0.000 0.500 0.172 [4 per cell]
2 N 0.000 0.000 0.000 [1 per cell]
3 N 0.000 0.000 0.286 [2 per cell]

For the mass density, the calculation gives 5.3 g cm⁻³. The energy relative to the elements, uncorrected comes out at 0.19 eV/atom.

10.
A plane-wave DFT calculation with GGA-PBE was carried out for a relaxed structure of NbN.

a = 5.692 Å, b = 5.692 Å, c = 3.499 Å
α = 90.00°, β = 90.00°, γ = 90.00°
Space group P4_2/mnm (No. 136)
Symmetry-distinct sites (fractional):
1 Nb 0.188 0.188 0.000 [4 per cell]
2 N 0.180 0.820 0.000 [4 per cell]

For the mass density, the calculation gives 6.3 g cm⁻³. The energy relative to the elements, uncorrected comes out at -0.60 eV/atom.

11.
A plane-wave DFT calculation with GGA-PBE was carried out for a relaxed structure of NbN.

a = 2.928 Å, b = 2.928 Å, c = 10.385 Å
α = 90.00°, β = 90.00°, γ = 90.00°
Space group I4_1md (No. 109)
Symmetry-distinct sites (fractional):
1 Nb 0.000 0.000 0.000 [4 per cell]
2 N 0.000 0.000 0.418 [4 per cell]

For the mass density, the calculation gives 8.0 g cm⁻³. The energy relative to the elements, uncorrected comes out at -1.06 eV/atom.

12.
A plane-wave DFT calculation with GGA-PBE was carried out for a relaxed structure of Nb3N.

a = 5.566 Å, b = 5.490 Å, c = 8.064 Å
α = 90.00°, β = 90.00°, γ = 90.00°
Space group Pna2_1 (No. 33)
Symmetry-distinct sites (fractional):
1 Nb 0.073 0.134 0.000 [4 per cell]
2 Nb 0.164 0.657 0.176 [4 per cell]
3 Nb 0.165 0.657 0.824 [4 per cell]
4 N 0.000 0.000 0.250 [4 per cell]

For the mass density, the calculation gives 7.9 g cm⁻³. The energy relative to the elements, uncorrected comes out at -0.60 eV/atom.